Compound: BiSb3H
Source: the Alexandria database
Functional: PBE
Structure: optimized geometry

Output
energy: -2.576 eV per atom
space group: Pm-3m
distance to the lowest polymorph of the same formula: 85.9 kJ/mol of atoms

Cell: 5.932 5.932 5.932 Å, 90.00 90.00 90.00°
Fractional coordinates of all 5 atoms:
Sb1 0.000 0.500 0.000
Sb2 0.000 0.000 0.500
Sb3 0.500 0.000 0.000
H1 0.500 0.500 0.500
Bi1 0.000 0.000 0.000